Density functional theory data (GGA-PBE) for an optimized crystal structure of Li2Ta2SnGeOs2.

## Properties
Electronic total energy (eV/cell): -61.073

abc: 4.413 4.413 6.270
angles: 90.00 90.00 90.00
Fractional coordinates of all 8 atoms:
Li  0.000  0.500  0.763
Li  0.500  0.000  0.237
Sn  0.500  0.500  0.500
Ta  0.500  0.500  0.000
Ta  0.000  0.000  0.500
Os  0.000  0.500  0.242
Os  0.500  0.000  0.758
Ge  0.000  0.000  0.000



Density functional theory data (GGA-PBE) for an optimized crystal structure of Li2Y2GePd2Pb.

## Properties
Electronic total energy (eV/cell): -40.868

abc: 4.719 4.719 6.708
angles: 90.00 90.00 90.00
Fractional coordinates of all 8 atoms:
Li  0.500  0.000  0.767
Li  0.000  0.500  0.233
Ge  0.500  0.500  0.000
Pd  0.500  0.000  0.230
Pd  0.000  0.500  0.770
Y  0.500  0.500  0.500
Y  0.000  0.000  0.000
Pb  0.000  0.000  0.500



Density functional theory data (GGA-PBE) for an optimized crystal structure of LiGe2Pd6.

## Properties
Electronic total energy (eV/cell): -93.426

abc: 7.965 7.965 4.131
angles: 90.00 90.00 90.00
Fractional coordinates of all 18 atoms:
Pd  0.820  0.524  0.000
Pd  0.872  0.872  0.000
Pd  0.477  0.180  0.000
Pd  0.628  0.372  0.500
Pd  0.023  0.680  0.500
Pd  0.523  0.820  0.000
Pd  0.320  0.976  0.500
Pd  0.977  0.320  0.500
Pd  0.180  0.476  0.000
Pd  0.680  0.024  0.500
Pd  0.128  0.128  0.000
Pd  0.372  0.628  0.500
Li  0.000  0.000  0.500
Li  0.500  0.500  0.000
Ge  0.196  0.804  0.000
Ge  0.804  0.196  0.000
Ge  0.696  0.696  0.500
Ge  0.304  0.304  0.500